Crystalline YPPtO2 at its relaxed geometry, computed with PBE. Values from VASP.

Cell and atoms, written as Quantum ESPRESSO input:
```
&SYSTEM
  ibrav = 0, nat = 5, ntyp = 4
/
ATOMIC_SPECIES
Y 88.91 Y.upf
P 30.97 P.upf
Pt 195.08 Pt.upf
O 16.00 O.upf
CELL_PARAMETERS angstrom
4.0836 0.0000 0.0000
0.0000 4.0836 0.0000
0.0000 0.0000 6.4172
ATOMIC_POSITIONS angstrom
Y 0.0000 0.0000 0.0000
P 0.0000 0.0000 3.2086
Pt 2.0418 2.0418 3.2086
O 0.0000 2.0418 0.0000
O 2.0418 0.0000 0.0000
```

crystal system = tetragonal
raw total energy = -29.7 eV for the cell shown
E_form (uncorrected) = -368 meV per atom